No. 1
A relaxed Ac4OsSe2Cl crystal, computed with PBE.

Summary:
Fermi-level density of states: 5.85 states/eV/cell
formation energy without anion corrections: -1.271 eV per atom

a b c (Å): 7.7399 4.3521 7.8752
angles (deg): 90.00 107.44 90.00
Sites, in units of the cell vectors:
Ac  0.2228  0.0000  0.2245
Ac  0.2313  0.5000  0.7580
Ac  0.7687  0.5000  0.2420
Ac  0.7772  0.0000  0.7755
Os  0.0000  0.5000  0.0000
Se  0.0000  0.0000  0.5000
Se  0.5000  0.5000  0.5000
Cl  0.5000  0.0000  0.0000

No. 2
A relaxed Ac4OsSeCl2 crystal, computed with PBE.

Summary:
Fermi-level density of states: 5.42 states/eV/cell
formation energy without anion corrections: -1.231 eV per atom

a b c (Å): 7.8750 4.3267 8.0859
angles (deg): 90.00 107.71 90.00
Sites, in units of the cell vectors:
Ac  0.2110  0.0000  0.2124
Ac  0.2241  0.5000  0.7643
Ac  0.7759  0.5000  0.2357
Ac  0.7890  0.0000  0.7876
Os  0.0000  0.5000  0.0000
Se  0.0000  0.0000  0.5000
Cl  0.5000  0.0000  0.0000
Cl  0.5000  0.5000  0.5000

No. 3
A relaxed Ac4Te2OsCl crystal, computed with PBE.

Summary:
Fermi-level density of states: 5.65 states/eV/cell
formation energy without anion corrections: -1.108 eV per atom

a b c (Å): 7.9365 4.4553 8.2280
angles (deg): 90.00 106.79 90.00
Sites, in units of the cell vectors:
Ac  0.2151  0.0000  0.2083
Ac  0.2310  0.5000  0.7741
Ac  0.7690  0.5000  0.2259
Ac  0.7849  0.0000  0.7917
Te  0.0000  0.0000  0.5000
Te  0.5000  0.5000  0.5000
Os  0.0000  0.5000  0.0000
Cl  0.5000  0.0000  0.0000

No. 4
A relaxed Ac6TlOs2Cl3 crystal, computed with PBE.

Summary:
Fermi-level density of states: 5.84 states/eV/cell
formation energy without anion corrections: -0.867 eV per atom

a b c (Å): 11.0624 11.0624 9.3824
angles (deg): 105.09 105.09 22.56
Sites, in units of the cell vectors:
Ac  0.0357  0.0357  0.2825
Ac  0.3131  0.3131  0.4236
Ac  0.3349  0.3349  0.8735
Ac  0.6651  0.6651  0.1265
Ac  0.6869  0.6869  0.5764
Ac  0.9643  0.9643  0.7175
Tl  0.5000  0.5000  0.0000
Os  0.1698  0.1698  0.3458
Os  0.8302  0.8302  0.6542
Cl  0.1843  0.1843  0.8594
Cl  0.5000  0.5000  0.5000
Cl  0.8157  0.8157  0.1406

No. 5
A relaxed Ac6P5Cl crystal, computed with PBE.

Summary:
Fermi-level density of states: 3.30 states/eV/cell
formation energy without anion corrections: -1.562 eV per atom

a b c (Å): 7.6773 7.6773 7.6633
angles (deg): 99.62 99.62 119.94
Sites, in units of the cell vectors:
Ac  0.0672  0.4141  0.7432
Ac  0.2391  0.2391  0.2583
Ac  0.4141  0.0672  0.7432
Ac  0.5859  0.9328  0.2568
Ac  0.7609  0.7609  0.7417
Ac  0.9328  0.5859  0.2568
P  0.0000  0.0000  0.5000
P  0.1670  0.8330  0.0000
P  0.3360  0.6640  0.5000
P  0.6640  0.3360  0.5000
P  0.8330  0.1670  0.0000
Cl  0.5000  0.5000  0.0000

No. 6
A relaxed AcPCl crystal, computed with PBE.

Summary:
polymorph energy (0 for the lowest one): 0.000 eV/atom
formation energy without anion corrections: -1.694 eV per atom

a b c (Å): 8.2790 5.2123 8.3984
angles (deg): 90.00 98.71 90.00
Sites, in units of the cell vectors:
Ac  0.2055  0.0000  0.2737
Ac  0.2945  0.5000  0.7263
Ac  0.7055  0.5000  0.2737
Ac  0.7945  0.0000  0.7263
P  0.0748  0.5000  0.3998
P  0.4252  0.0000  0.6002
P  0.5748  0.0000  0.3998
P  0.9252  0.5000  0.6002
Cl  0.1619  0.0000  0.8867
Cl  0.3381  0.5000  0.1133
Cl  0.6619  0.5000  0.8867
Cl  0.8381  0.0000  0.1133

No. 7
A relaxed AcPCl crystal, computed with PBE.

Summary:
polymorph energy (0 for the lowest one): 0.066 eV/atom
formation energy without anion corrections: -1.628 eV per atom

a b c (Å): 4.6996 5.2767 8.0539
angles (deg): 79.44 88.31 74.56
Sites, in units of the cell vectors:
Ac  0.2226  0.1422  0.2129
Ac  0.7774  0.8578  0.7871
P  0.3298  0.6730  0.0348
P  0.6702  0.3270  0.9652
Cl  0.3079  0.7709  0.5648
Cl  0.6921  0.2291  0.4352

No. 8
A relaxed AcPCl crystal, computed with PBE.

Summary:
Fermi-level density of states: 3.43 states/eV/cell
polymorph energy (0 for the lowest one): 0.620 eV/atom
formation energy without anion corrections: -1.073 eV per atom

a b c (Å): 4.9451 4.9451 3.8862
angles (deg): 90.00 90.00 120.00
Sites, in units of the cell vectors:
Ac  0.0000  0.0000  0.0000
P  0.6667  0.3333  0.5000
Cl  0.3333  0.6667  0.0000

No. 9
A relaxed AcPCl crystal, computed with PBE.

Summary:
Fermi-level density of states: 1.55 states/eV/cell
polymorph energy (0 for the lowest one): 0.568 eV/atom
formation energy without anion corrections: -1.125 eV per atom

a b c (Å): 4.1204 4.1204 9.8655
angles (deg): 90.00 90.00 90.00
Sites, in units of the cell vectors:
Ac  0.0000  0.0000  0.0000
Ac  0.5000  0.5000  0.5000
P  0.0000  0.0000  0.3923
P  0.5000  0.5000  0.8923
Cl  0.0000  0.0000  0.6829
Cl  0.5000  0.5000  0.1829

No. 10
A relaxed Ac5P4Cl crystal, computed with PBE.

Summary:
Fermi-level density of states: 3.17 states/eV/cell
formation energy without anion corrections: -1.543 eV per atom

a b c (Å): 11.7458 11.7458 11.7458
angles (deg): 158.28 149.20 38.00
Sites, in units of the cell vectors:
Ac  0.0000  0.0000  0.0000
Ac  0.1995  0.1995  0.0000
Ac  0.3907  0.3907  0.0000
Ac  0.6093  0.6093  0.0000
Ac  0.8005  0.8005  0.0000
P  0.0970  0.5970  0.5000
P  0.3001  0.8001  0.5000
P  0.6999  0.1999  0.5000
P  0.9030  0.4030  0.5000
Cl  0.5000  0.0000  0.5000

No. 11
A relaxed Ac2PCl3 crystal, computed with PBE.

Summary:
Fermi-level density of states: 0.00 states/eV/cell
formation energy without anion corrections: -2.034 eV per atom

a b c (Å): 4.4259 9.5998 11.2245
angles (deg): 85.87 78.65 76.71
Sites, in units of the cell vectors:
Ac  0.1161  0.1498  0.1186
Ac  0.2504  0.2574  0.7421
Ac  0.7496  0.7426  0.2579
Ac  0.8839  0.8502  0.8814
P  0.2999  0.8274  0.0723
P  0.7001  0.1726  0.9277
Cl  0.0784  0.5587  0.7870
Cl  0.1710  0.7288  0.4291
Cl  0.4294  0.9358  0.7048
Cl  0.5706  0.0642  0.2952
Cl  0.8290  0.2712  0.5709
Cl  0.9216  0.4413  0.2130

No. 12
A relaxed Ac4PPdCl2 crystal, computed with PBE.

Summary:
Fermi-level density of states: 5.96 states/eV/cell
formation energy without anion corrections: -1.330 eV per atom

a b c (Å): 7.5743 4.3345 7.9561
angles (deg): 90.00 108.57 90.00
Sites, in units of the cell vectors:
Ac  0.2249  0.0000  0.2387
Ac  0.2328  0.5000  0.7380
Ac  0.7672  0.5000  0.2620
Ac  0.7751  0.0000  0.7613
P  0.0000  0.0000  0.5000
Pd  0.0000  0.5000  0.0000
Cl  0.5000  0.0000  0.0000
Cl  0.5000  0.5000  0.5000

Calculated density (g/cm3), listed in the same order as above: 8.47 7.90 8.28 8.03 6.99 5.44 5.15 5.92 5.82 7.01 4.32 7.49